# 1
Material: LiCaTbSn
Method: DFT, GGA-PBE
State: optimized geometry

Values from the calculation:
* calculated total energy: -3.554 eV per atom
* density of states at the Fermi level: 2.3 states/eV per cell
* formation energy: -0.417 eV/atom

a b c (Å): 5.307 5.307 5.307
angles (deg): 60.00 60.00 60.00
Element x y z (fractional)
Li1 0.000 0.000 0.000
Ca1 0.250 0.250 0.250
Tb1 0.750 0.750 0.750
Sn1 0.500 0.500 0.500



# 2
Material: Tb2PrRu
Method: DFT, GGA-PBE
State: optimized geometry

Values from the calculation:
* calculated total energy: -6.070 eV per atom
* density of states at the Fermi level: 7.2 states/eV per cell
* formation energy: -0.241 eV/atom
* energy above the most stable polymorph in this dataset: 0.015 eV/atom

a b c (Å): 6.446 6.446 9.280
angles (deg): 90.00 90.00 144.47
Element x y z (fractional)
Tb1 0.146 0.854 0.570
Tb2 0.146 0.854 0.930
Tb3 0.854 0.146 0.070
Tb4 0.854 0.146 0.430
Pr1 0.425 0.575 0.750
Pr2 0.575 0.425 0.250
Ru1 0.247 0.753 0.250
Ru2 0.753 0.247 0.750



# 3
Material: CeThTeSe
Method: DFT, GGA-PBE
State: optimized geometry

Values from the calculation:
* calculated total energy: -6.404 eV per atom
* density of states at the Fermi level: 6.9 states/eV per cell
* ΔE_f (raw): -1.4089 eV per atom

a b c (Å): 8.145 8.145 8.145
angles (deg): 29.59 29.59 29.59
Element x y z (fractional)
Ce1 0.000 0.000 0.000
Th1 0.186 0.186 0.186
Te1 0.761 0.761 0.761
Se1 0.594 0.594 0.594



# 4
Material: CaNbCo3
Method: DFT, GGA-PBE
State: optimized geometry

Values from the calculation:
* calculated total energy: -5.888 eV per atom
* density of states at the Fermi level: 6.3 states/eV per cell
* formation energy: 0.790 eV/atom
* energy above the most stable polymorph in this dataset: 0.000 eV/atom

a b c (Å): 4.570 4.570 4.570
angles (deg): 90.00 90.00 90.00
Element x y z (fractional)
Ca1 0.000 0.000 0.000
Nb1 0.500 0.500 0.500
Co1 0.000 0.500 0.500
Co2 0.500 0.000 0.500
Co3 0.500 0.500 0.000



# 5
Material: ZnPt2Rh
Method: DFT, GGA-PBE
State: optimized geometry

Values from the calculation:
* calculated total energy: -5.366 eV per atom
* density of states at the Fermi level: 4.2 states/eV per cell
* formation energy: -0.189 eV/atom

a b c (Å): 5.367 5.367 5.367
angles (deg): 150.15 128.30 60.84
Element x y z (fractional)
Zn1 0.000 0.000 0.000
Pt1 0.242 0.742 0.500
Pt2 0.504 0.504 0.000
Rh1 0.758 0.258 0.500



# 6
Material: Ce3Er3CuS8
Method: DFT, GGA-PBE
State: optimized geometry

Values from the calculation:
* calculated total energy: -6.361 eV per atom
* density of states at the Fermi level: 17.8 states/eV per cell
* ΔE_f (raw): -1.7875 eV per atom

a b c (Å): 7.856 7.856 7.856
angles (deg): 59.52 59.52 59.52
Element x y z (fractional)
Ce1 0.000 0.500 0.500
Ce2 0.500 0.000 0.500
Ce3 0.500 0.500 0.000
Er1 0.000 0.000 0.500
Er2 0.000 0.500 0.000
Er3 0.500 0.000 0.000
Cu1 0.500 0.500 0.500
S1 0.245 0.245 0.245
S2 0.249 0.743 0.743
S3 0.257 0.257 0.751
S4 0.257 0.751 0.257
S5 0.743 0.249 0.743
S6 0.743 0.743 0.249
S7 0.751 0.257 0.257
S8 0.755 0.755 0.755



# 7
Material: CeDy3Tm6
Method: DFT, GGA-PBE
State: optimized geometry

Values from the calculation:
* calculated total energy: -4.495 eV per atom
* density of states at the Fermi level: 31.8 states/eV per cell
* formation energy: 0.162 eV/atom
* energy above the most stable polymorph in this dataset: 0.000 eV/atom

a b c (Å): 8.766 8.766 8.971
angles (deg): 90.00 90.00 115.71
Element x y z (fractional)
Ce1 0.236 0.764 0.500
Ce2 0.764 0.236 0.000
Dy1 0.030 0.312 0.548
Dy2 0.312 0.030 0.048
Dy3 0.461 0.539 0.561
Dy4 0.539 0.461 0.061
Dy5 0.688 0.970 0.548
Dy6 0.970 0.688 0.048
Tm1 0.059 0.941 0.696
Tm2 0.155 0.289 0.885
Tm3 0.167 0.473 0.215
Tm4 0.289 0.155 0.385
Tm5 0.296 0.704 0.847
Tm6 0.473 0.167 0.715
Tm7 0.527 0.833 0.215
Tm8 0.704 0.296 0.347
Tm9 0.711 0.845 0.885
Tm10 0.833 0.527 0.715
Tm11 0.845 0.711 0.385
Tm12 0.941 0.059 0.196



# 8
Material: PmSiSe3
Method: DFT, GGA-PBE
State: optimized geometry

Values from the calculation:
* calculated total energy: -5.282 eV per atom
* density of states at the Fermi level: 0.0 states/eV per cell
* energy above the most stable polymorph in this dataset: 0.000 eV/atom
* ΔE_f (raw): -1.1570 eV per atom

a b c (Å): 6.897 7.762 11.556
angles (deg): 90.00 124.10 90.00
Element x y z (fractional)
Pm1 0.212 0.126 0.252
Pm2 0.212 0.374 0.752
Pm3 0.788 0.626 0.248
Pm4 0.788 0.874 0.748
Si1 0.143 0.600 0.066
Si2 0.143 0.900 0.566
Si3 0.857 0.100 0.434
Si4 0.857 0.400 0.934
Se1 0.078 0.179 0.933
Se2 0.078 0.321 0.433
Se3 0.285 0.689 0.938
Se4 0.285 0.811 0.438
Se5 0.417 0.022 0.775
Se6 0.417 0.478 0.275
Se7 0.583 0.522 0.725
Se8 0.583 0.978 0.225
Se9 0.715 0.189 0.562
Se10 0.715 0.311 0.062
Se11 0.922 0.679 0.567
Se12 0.922 0.821 0.067



# 9
Material: ScCo3Si2
Method: DFT, GGA-PBE
State: optimized geometry

Values from the calculation:
* calculated total energy: -6.491 eV per atom
* density of states at the Fermi level: 12.0 states/eV per cell
* ΔE_f (raw): -0.0756 eV per atom

a b c (Å): 4.520 4.520 10.144
angles (deg): 90.00 90.00 120.16
Element x y z (fractional)
Sc1 0.000 0.000 0.000
Sc2 0.000 0.000 0.500
Co1 0.168 0.336 0.750
Co2 0.168 0.832 0.750
Co3 0.336 0.168 0.250
Co4 0.664 0.832 0.750
Co5 0.832 0.168 0.250
Co6 0.832 0.664 0.250
Si1 0.333 0.667 0.133
Si2 0.333 0.667 0.367
Si3 0.667 0.333 0.633
Si4 0.667 0.333 0.867



# 10
Material: Ho4CoBi
Method: DFT, GGA-PBE
State: optimized geometry

Values from the calculation:
* calculated total energy: -5.007 eV per atom
* density of states at the Fermi level: 9.1 states/eV per cell
* formation energy: -0.124 eV/atom
* energy above the most stable polymorph in this dataset: 0.252 eV/atom

a b c (Å): 9.787 9.787 9.607
angles (deg): 114.76 114.76 31.13
Element x y z (fractional)
Ho1 0.026 0.026 0.198
Ho2 0.189 0.189 0.890
Ho3 0.243 0.243 0.322
Ho4 0.385 0.385 0.942
Ho5 0.615 0.615 0.058
Ho6 0.757 0.757 0.678
Ho7 0.811 0.811 0.110
Ho8 0.974 0.974 0.802
Co1 0.113 0.113 0.054
Co2 0.887 0.887 0.946
Bi1 0.157 0.157 0.546
Bi2 0.843 0.843 0.454



# 11
Material: CoNiBi2Te
Method: DFT, GGA-PBE
State: optimized geometry

Values from the calculation:
* calculated total energy: -3.450 eV per atom
* density of states at the Fermi level: 9.3 states/eV per cell
* ΔE_f (raw): 1.3082 eV per atom

a b c (Å): 5.893 5.893 4.506
angles (deg): 90.00 90.00 90.00
Element x y z (fractional)
Co1 0.000 0.000 0.000
Ni1 0.500 0.500 0.000
Bi1 0.000 0.500 0.500
Bi2 0.500 0.000 0.500
Te1 0.000 0.000 0.500



# 12
Material: SmSi2Ni2Rh
Method: DFT, GGA-PBE
State: optimized geometry

Values from the calculation:
* calculated total energy: -5.936 eV per atom
* density of states at the Fermi level: 2.3 states/eV per cell
* ΔE_f (raw): -0.1897 eV per atom

a b c (Å): 4.485 4.485 5.350
angles (deg): 90.00 90.00 90.00
Element x y z (fractional)
Sm1 0.000 0.000 0.000
Si1 0.000 0.500 0.500
Si2 0.500 0.000 0.500
Ni1 0.500 0.500 0.259
Ni2 0.500 0.500 0.741
Rh1 0.000 0.000 0.500